A relaxed structure of Ca2Ga6Ag. Source: the Alexandria database, functional PBE.

The calculation puts the calculated total energy at -3.12 eV/atom. Its space group is C2/m, No. 12. The calculation puts the energy of formation from the pure elements at -3.07 eV per formula unit. The volume is 20.709 Å³/atom. The total magnetic moment comes out at 0.00 μB per cell.

extended XYZ file:
```
9
Lattice="5.245 -3.032 0.000 5.245 3.032 0.000 -1.646 0.000 5.860" Properties=species:S:1:pos:R:3 pbc="T T T"
Ca 0.968 0.000 2.033
Ca 7.876 0.000 3.828
Ga 3.562 1.696 0.954
Ga 5.282 1.696 4.906
Ga 2.583 0.000 4.868
Ga 6.261 0.000 0.993
Ga 3.562 -1.696 0.954
Ga 5.282 -1.696 4.906
Ag 4.422 0.000 2.930
```